Material: Na5B8C2
Method: DFT, PBE
State: relaxed

## Properties
- ΔH_f (0 K): 189 meV/atom
- Distance to the lowest polymorph of the same formula: 18 meV/atom
- SG: C2/c, No. 15
- D(E_F): 5.9 states/eV per cell

Cell lengths 7.526, 7.526, 9.120 Å; angles 106.85, 106.85, 41.07 degrees
Element x y z (fractional)
C 0.986 0.310 0.249
C 0.790 0.114 0.251
C 0.810 0.486 0.749
C 0.614 0.290 0.751
B 0.009 0.702 0.750
B 0.277 0.012 0.250
B 0.731 0.369 0.250
B 0.526 0.181 0.250
B 0.919 0.574 0.250
B 0.088 0.823 0.250
B 0.074 0.419 0.750
B 0.869 0.231 0.750
B 0.202 0.509 0.250
B 0.402 0.698 0.250
B 0.681 0.026 0.750
B 0.512 0.777 0.750
B 0.398 0.091 0.750
B 0.198 0.902 0.750
B 0.591 0.898 0.250
B 0.323 0.588 0.750
Na 0.898 0.900 0.496
Na 0.503 0.495 0.497
Na 0.800 0.800 0.000
Na 0.200 0.202 0.004
Na 0.605 0.597 0.003
Na 0.097 0.105 0.503
Na 0.995 0.003 0.997
Na 0.702 0.700 0.504
Na 0.300 0.300 0.500
Na 0.400 0.398 0.996

Material: Na5B8C2
Method: DFT, PBE
State: relaxed

## Properties
- ΔH_f (0 K): 183 meV/atom
- Distance to the lowest polymorph of the same formula: 13 meV/atom
- SG: Cm, No. 8
- D(E_F): 4.5 states/eV per cell

Cell lengths 11.782, 11.782, 10.136 Å; angles 106.14, 106.14, 13.80 degrees
Element x y z (fractional)
C 0.289 0.289 0.826
C 0.476 0.476 0.204
C 0.917 0.917 0.584
C 0.882 0.882 0.014
Na 0.802 0.802 0.600
Na 0.201 0.201 0.400
Na 0.999 0.999 0.999
Na 0.400 0.400 0.802
Na 0.599 0.599 0.199
Na 0.099 0.099 0.700
Na 0.499 0.499 0.496
Na 0.301 0.301 0.102
Na 0.700 0.700 0.904
Na 0.900 0.900 0.298
B 0.515 0.515 0.782
B 0.721 0.721 0.190
B 0.323 0.323 0.393
B 0.076 0.076 0.402
B 0.785 0.785 0.319
B 0.118 0.118 0.988
B 0.008 0.008 0.267
B 0.685 0.685 0.619
B 0.620 0.620 0.490
B 0.229 0.229 0.707
B 0.577 0.577 0.906
B 0.976 0.976 0.703
B 0.414 0.414 0.077
B 0.388 0.388 0.525
B 0.181 0.181 0.112
B 0.820 0.820 0.890